Compound: CaAgSb
Source: Alexandria via LeMat-Bulk
Functional: PBE
Structure: optimized geometry

POSCAR file:
```
CaAgSb
1.0
4.8378 0.0909 -0.0640
2.2909 4.2553 0.0216
-2.2054 -1.5156 7.7973
Ag Sb Ca
2 2 2
direct
0.3009 0.1887 0.8718 Ag
0.0473 0.9339 0.0979 Ag
0.6741 0.5613 0.9848 Sb
0.1740 0.0613 0.4848 Sb
0.4472 0.3333 0.2934 Ca
0.9010 0.7893 0.6763 Ca
```

Properties
- SG = C2/m (12)
- calculated total energy (eV per atom) = -3.60
- raw formation energy (eV/atom) = -0.61
- density of states at the Fermi level (states/eV/f.u.) = 0.3